A relaxed SnPt4Se8 crystal, computed with GGA-PBE.

Cell lengths 7.6270, 7.6270, 19.8417 Å; angles 90.00, 90.00, 120.00 degrees
Space group R-3m (No. 166, hexagonal axes)
One atom of each set of equivalent atoms:
Sn (0.0000, 0.0000, 0.0000) (multiplicity 3)
Pt (0.0000, 0.0000, 0.5000) (multiplicity 3)
Pt (0.0000, 0.5000, 0.5000) (multiplicity 9)
Se (0.0000, 0.0000, 0.2317) (multiplicity 6)
Se (0.0052, 0.5026, 0.7673) (multiplicity 18)

Output
M_tot   0.00 μB/f.u.
Formation energy (no corrections)   -0.325 eV/atom
V   25.630 Å³/atom

A relaxed SnPtSe crystal, computed with GGA-PBE.

Cell lengths 5.1990, 3.9409, 6.7839 Å; angles 90.00, 90.07, 90.00 degrees
Space group P2/m (No. 10)
One atom of each set of equivalent atoms:
Sn (0.2147, 0.0000, 0.2503) (multiplicity 2)
Pt (0.0000, 0.5000, 0.0000) (multiplicity 1)
Pt (0.0000, 0.5000, 0.5000) (multiplicity 1)
Se (0.3477, 0.5000, 0.7504) (multiplicity 2)

Output
M_tot   0.00 μB/f.u.
Formation energy (no corrections)   -0.386 eV/atom
V   23.165 Å³/atom

A relaxed SnPtSe3 crystal, computed with GGA-PBE.

Cell lengths 6.6573, 6.6573, 20.1376 Å; angles 90.00, 90.00, 120.00 degrees
Space group R-3 (No. 148, hexagonal axes)
One atom of each set of equivalent atoms:
Sn (0.0000, 0.0000, 0.1245) (multiplicity 6)
Pt (0.0000, 0.0000, 0.3330) (multiplicity 6)
Se (0.0006, 0.3885, 0.9262) (multiplicity 18)

Output
E above lowest polymorph   0 meV per atom
M_tot   0.00 μB/f.u.
Formation energy (no corrections)   -0.285 eV/atom
V   25.764 Å³/atom